Record 1
Below is a geometry-optimized CaZnW2 structure, with properties calculated at the PBE-GGA level.

## Properties
E_form (eV per atom): 0.37
V (Å³ per atom): 19.62
Space-group type: Pm (6)
Total magnetic moment (μB per formula unit): 0.00
Energy (eV/f.u.): -27.7

Cell lengths 3.290, 3.304, 7.867 Å; angles 66.61, 90.00, 90.00 degrees
Atoms (fractional coordinates):
Zn1 0.000 0.542 0.454
Ca1 0.500 0.761 0.749
W1 0.500 0.245 0.235
W2 0.000 0.952 0.062

=====

Record 2
Below is a geometry-optimized BiPd6Au structure, with properties calculated at the PBE-GGA level.

## Properties
E_form (eV per atom): -0.17
V (Å³ per atom): 16.79
Space-group type: P4/mmm (123)
Total magnetic moment (μB per formula unit): 0.00
Relative energy among the computed polymorphs (eV per atom): 0.000
Energy (eV/f.u.): -39.7

Cell lengths 4.084, 5.735, 5.735 Å; angles 89.97, 90.00, 90.00 degrees
Atoms (fractional coordinates):
Au1 0.500 0.000 0.000
Pd1 0.000 0.753 0.753
Pd2 0.000 0.753 0.247
Pd3 0.500 0.000 0.500
Pd4 0.500 0.500 0.000
Pd5 0.000 0.247 0.247
Pd6 0.000 0.247 0.753
Bi1 0.500 0.500 0.500

=====

Record 3
Below is a geometry-optimized DyHo5TmIn2 structure, with properties calculated at the PBE-GGA level.

## Properties
E_form (eV per atom): 0.01
V (Å³ per atom): 30.94
Space-group type: I4/mcm (140)
Total magnetic moment (μB per formula unit): 0.00
Energy (eV/f.u.): -37.3

Cell lengths 7.588, 7.588, 11.061 Å; angles 110.06, 110.06, 90.00 degrees
Atoms (fractional coordinates):
In1 0.624 0.124 0.000
In2 0.876 0.624 0.000
In3 0.124 0.376 0.000
In4 0.376 0.876 0.000
Dy1 0.750 0.750 0.500
Dy2 0.250 0.250 0.500
Ho1 0.500 0.500 0.000
Ho2 0.423 0.325 0.248
Ho3 0.675 0.175 0.752
Ho4 0.923 0.423 0.248
Ho5 0.577 0.675 0.752
Ho6 0.825 0.923 0.248
Ho7 0.000 0.000 0.000
Ho8 0.077 0.577 0.752
Ho9 0.175 0.077 0.752
Ho10 0.325 0.825 0.248
Tm1 0.750 0.250 0.500
Tm2 0.250 0.750 0.500

=====

Record 4
Below is a geometry-optimized Ac2DyCdO6 structure, with properties calculated at the PBE-GGA level.

## Properties
E_form (uncorrected) (eV/atom): -2.6907
V (Å³ per atom): 16.16
Space-group type: P2_1/c (14)
Total magnetic moment (μB per formula unit): 1.00
Energy (eV/f.u.): -70.4

Cell lengths 5.985, 6.209, 8.699 Å; angles 90.00, 91.08, 90.00 degrees
Last column: magnetic moment on the atom in μB.
Atoms (fractional coordinates):
O1 0.802 0.794 0.569  0.15
O2 0.379 0.945 0.755  0.13
O3 0.300 0.696 0.440  0.12
O4 0.302 0.706 0.069  0.15
O5 0.198 0.206 0.431  0.15
O6 0.800 0.804 0.940  0.12
O7 0.698 0.294 0.931  0.15
O8 0.200 0.196 0.060  0.12
O9 0.879 0.555 0.255  0.13
O10 0.700 0.304 0.560  0.12
O11 0.621 0.055 0.245  0.13
O12 0.121 0.445 0.745  0.13
Ac1 0.982 0.055 0.753  0.00
Ac2 0.018 0.945 0.247  0.00
Ac3 0.482 0.445 0.253  0.00
Ac4 0.518 0.555 0.747  0.00
Cd1 0.000 0.500 0.000  0.06
Cd2 0.500 0.000 0.500  0.06
Dy1 0.000 0.500 0.500  0.03
Dy2 0.500 0.000 0.000  0.03